Material: ZrAlCuNi
Method: DFT, PBE
State: optimized geometry

Volume in Å³ per cell: 121
M_tot in μB per formula unit: 0.015
Total DFT energy (no corrections) in eV per atom: -5.877
Symmetry: P-6m2, No. 187

Cell: 4.1752 4.1752 8.0347 Å, 90.00 90.00 120.00°
With the nearest neighbours (Å) after each atom.
Element x y z (fractional)
Al 0.0000 0.0000 0.2529  3 Ni 2.49, 3 Cu 2.52
Al 0.0000 0.0000 0.7471  3 Ni 2.49, 3 Cu 2.52
Cu 0.3333 0.6667 0.1631  3 Al 2.52, 1 Cu 2.62, 4 Zr 2.71-2.74, 3 Ni 2.76
Cu 0.3333 0.6667 0.8369  3 Al 2.52, 1 Cu 2.62, 4 Zr 2.71-2.74, 3 Ni 2.76
Ni 0.6667 0.3333 0.3315  3 Al 2.49, 4 Zr 2.66-2.76, 1 Ni 2.71, 3 Cu 2.76
Ni 0.6667 0.3333 0.6685  3 Al 2.49, 4 Zr 2.66-2.76, 1 Ni 2.71, 3 Cu 2.76
Zr 0.6667 0.3333 0.0000  2 Ni 2.66, 6 Cu 2.74
Zr 0.3333 0.6667 0.5000  2 Cu 2.71, 6 Ni 2.76